Material: Dy3ZrSb4
Method: DFT, GGA-PBE
State: optimized geometry

Results
density of states at the Fermi level = 0.189 states/eV/atom
electronic total energy = -46.77 eV for the cell shown
energy relative to the elements, uncorrected = -0.991 eV/atom
total moment = 0.00 Bohr magnetons per cell

Cell lengths 4.3111, 7.4713, 7.4713 Å; angles 109.30, 90.00, 90.00 degrees
Element x y z (fractional)
Dy: 0.0000 0.0000 0.5000
Dy: 0.5000 0.5000 0.5000
Dy: 0.0000 0.5000 0.0000
Zr: 0.5000 0.0000 0.0000
Sb: 0.0000 0.2404 0.2404
Sb: 0.5000 0.7550 0.2450
Sb: 0.0000 0.7596 0.7596
Sb: 0.5000 0.2450 0.7550

---

Material: DyZrSb
Method: DFT, GGA-PBE
State: optimized geometry

Results
density of states at the Fermi level = 1.103 states/eV/atom
electronic total energy = -39.36 eV for the cell shown
energy relative to the elements, uncorrected = -0.802 eV/atom
total moment = 0.00 Bohr magnetons per cell

Cell lengths 8.8517, 8.8517, 8.8517 Å; angles 152.05, 152.05, 39.94 degrees
Element x y z (fractional)
Dy: 0.6766 0.6766 0.0000
Dy: 0.3234 0.3234 0.0000
Zr: 0.5000 0.0000 0.5000
Zr: 0.0000 0.5000 0.5000
Sb: 0.1335 0.1335 0.0000
Sb: 0.8665 0.8665 0.0000

---

Material: DyZrSb
Method: DFT, GGA-PBE
State: optimized geometry

Results
density of states at the Fermi level = 0.936 states/eV/atom
electronic total energy = -39.40 eV for the cell shown
energy relative to the elements, uncorrected = -0.810 eV/atom
total moment = 0.00 Bohr magnetons per cell

Cell lengths 4.3159, 4.3159, 8.2231 Å; angles 90.00, 90.00, 90.00 degrees
Element x y z (fractional)
Dy: 0.0000 0.5000 0.8517
Dy: 0.5000 0.0000 0.1483
Zr: 0.5000 0.5000 0.5000
Zr: 0.0000 0.0000 0.5000
Sb: 0.0000 0.5000 0.2360
Sb: 0.5000 0.0000 0.7640